Record 1
Computed, not measured: crystalline EuLuNiIr at its relaxed geometry at the PBE-GGA level of DFT.

The structure in POSCAR format:
```
EuLuNiIr
1.0
4.8224 0.0000 0.0000
2.4112 4.1764 0.0000
2.4112 1.3921 3.9375
Eu Ni Ir Lu
1 1 1 1
Direct
0.0000 0.0000 0.0000 Eu
0.2500 0.2500 0.2500 Ni
0.7500 0.7500 0.7500 Ir
0.5000 0.5000 0.5000 Lu
```

## Properties
- size of the total moment (μB/f.u.) = 6.75
- space-group type = F-43m, No. 216
- ΔE_f (meV/atom) = -415
- Fermi-level density of states (states/eV per cell) = 11.72

***

Record 2
Computed, not measured: crystalline EuLuIrPt at its relaxed geometry at the PBE-GGA level of DFT.

The structure in POSCAR format:
```
EuLuIrPt
1.0
-1.3174 4.3260 1.8736
-0.9047 0.4183 4.7924
3.1015 2.4710 2.8697
Eu Ir Lu Pt
1 1 1 1
Direct
0.0000 0.0000 0.0000 Eu
0.2500 0.2500 0.2500 Ir
0.5000 0.5000 0.5000 Lu
0.7500 0.7500 0.7500 Pt
```

## Properties
- size of the total moment (μB/f.u.) = 6.71
- space-group type = F-43m, No. 216
- ΔE_f (meV/atom) = -786
- Fermi-level density of states (states/eV per cell) = 11.39

***

Record 3
Computed, not measured: crystalline EuLuIrRh at its relaxed geometry at the PBE-GGA level of DFT.

The structure in POSCAR format:
```
EuLuIrRh
1.0
-2.3017 -4.0407 -1.3672
1.8660 -2.7859 -3.5002
1.8649 -4.3388 1.0914
Eu Rh Ir Lu
1 1 1 1
Direct
0.2500 0.2500 0.2500 Eu
0.0000 0.0000 0.0000 Rh
0.5000 0.5000 0.5000 Ir
0.7500 0.7500 0.7500 Lu
```

## Properties
- size of the total moment (μB/f.u.) = 6.60
- space-group type = F-43m, No. 216
- ΔE_f (meV/atom) = -588
- Fermi-level density of states (states/eV per cell) = 10.60

***

Record 4
Computed, not measured: crystalline EuMgIr at its relaxed geometry at the PBE-GGA level of DFT.

The structure in POSCAR format:
```
EuMgIr
1.0
-2.8242 -2.2324 -0.0521
0.8291 -0.9452 -4.4420
1.9589 -2.5554 3.3083
Eu Mg Ir
1 1 1
Direct
0.6667 0.6667 0.3333 Eu
0.1670 0.3333 0.6667 Mg
0.1662 0.0000 0.0000 Ir
```

## Properties
- size of the total moment (μB/f.u.) = 6.84
- space-group type = P-6m2, No. 187
- ΔE_f (meV/atom) = -193
- Fermi-level density of states (states/eV per cell) = 10.04

***

Record 5
Computed, not measured: crystalline EuMg2Ir at its relaxed geometry at the PBE-GGA level of DFT.

The structure in POSCAR format:
```
EuMg2Ir
1.0
4.8639 0.0000 0.0000
2.4319 4.2123 0.0000
2.4319 1.4041 3.9699
Eu Mg Ir
1 2 1
Direct
0.0000 0.0000 0.0000 Eu
0.7499 0.7499 0.7502 Mg
0.2501 0.2501 0.2498 Mg
0.5000 0.5000 0.5000 Ir
```

## Properties
- size of the total moment (μB/f.u.) = 7.34
- space-group type = Fm-3m, No. 225
- ΔE_f (meV/atom) = -95
- Fermi-level density of states (states/eV per cell) = 4.29

***

Record 6
Computed, not measured: crystalline EuMgIr at its relaxed geometry at the PBE-GGA level of DFT.

The structure in POSCAR format:
```
EuMgIr
1.0
3.3498 0.0000 0.0000
0.0000 3.3498 0.0000
-1.6749 -1.6749 6.0288
Eu Mg Ir
1 1 1
Direct
0.5900 0.5900 0.1799 Eu
0.3250 0.3250 0.6499 Mg
0.9351 0.9351 0.8702 Ir
```

## Properties
- size of the total moment (μB/f.u.) = 7.04
- space-group type = I4mm, No. 107
- ΔE_f (meV/atom) = -225
- Fermi-level density of states (states/eV per cell) = 7.46